Compound: Ba2H7Rh
Source: Alexandria via LeMat-Bulk
Functional: PBE
Structure: relaxed

Electronic total energy in Ry/atom: -0.2873
Magnetization in μB per formula unit: 0.00
Space-group type: No. 225

Unit cell a=5.698 b=5.698 c=5.698 alpha=60.00 beta=60.00 gamma=60.00
Fractional coordinates of all 10 atoms:
H1 0.500 0.500 0.500
Rh1 0.000 0.000 0.000
H2 0.792 0.208 0.792
Ba1 0.750 0.750 0.750
H3 0.208 0.792 0.208
H4 0.208 0.208 0.792
H5 0.792 0.792 0.208
H6 0.792 0.208 0.208
Ba2 0.250 0.250 0.250
H7 0.208 0.792 0.792